8
Lattice="-3.208 2.951 2.420 1.762 -1.659 4.358 3.385 3.659 0.025" Properties=species:S:1:pos:R:3 comment="AlB PBE optimized geometry" spacegroup=F-43m formation_energy_ev_per_atom=0.9573 pbc="T T T"
B -0.238 1.884 5.090
Al 2.573 1.000 2.191
Al -0.723 0.646 3.389
B 3.058 2.238 3.892
Al 0.000 0.000 0.000
Al 0.089 3.305 1.222
B 0.485 1.238 1.701
B 0.573 4.543 2.923